[1]
First-principles (PBE) data for a relaxed structure of BeZn2Cl, as listed in the Alexandria database.

## Properties
Formation energy without anion corrections: 0.87 kcal/mol of atoms
Symmetry: R-3m (166)
Polymorph energy (0 for the lowest one): 0.130 eV per atom

a b c (Å): 7.489 7.489 7.489
angles (deg): 24.52 24.52 24.52
Atoms (fractional coordinates):
Be 0.250 0.250 0.250
Zn 0.990 0.990 0.990
Zn 0.510 0.510 0.510
Cl 0.750 0.750 0.750



[2]
First-principles (PBE) data for a relaxed structure of Cs2Sn4BiAu3, as listed in the Alexandria database.

## Properties
Symmetry: P-4m2 (115)
Formation enthalpy at 0 K: -0.2129 eV/atom

a b c (Å): 5.067 5.067 11.915
angles (deg): 90.00 90.00 90.00
Atoms (fractional coordinates):
Cs 0.500 0.000 0.248
Cs 0.000 0.500 0.752
Sn 0.500 0.500 0.000
Sn 0.000 0.000 0.000
Sn 0.500 0.000 0.642
Sn 0.000 0.500 0.358
Bi 0.500 0.500 0.500
Au 0.000 0.000 0.500
Au 0.500 0.000 0.885
Au 0.000 0.500 0.115



[3]
First-principles (PBE) data for a relaxed structure of Fe2AgMo, as listed in the Alexandria database.

## Properties
Symmetry: Cmm2 (35)
Formation enthalpy at 0 K: 0.2801 eV/atom
Polymorph energy (0 for the lowest one): 0.000 eV per atom

a b c (Å): 2.641 2.641 8.592
angles (deg): 90.00 90.00 106.65
Atoms (fractional coordinates):
Ag 0.500 0.500 0.763
Fe 0.000 0.000 0.024
Fe 0.500 0.500 0.237
Mo 0.000 0.000 0.476



[4]
First-principles (PBE) data for a relaxed structure of Tb6Zn5Pt, as listed in the Alexandria database.

## Properties
Symmetry: Cmmm (65)
Formation enthalpy at 0 K: -0.4996 eV/atom

a b c (Å): 5.050 7.114 7.982
angles (deg): 90.00 71.56 90.00
Atoms (fractional coordinates):
Zn 0.670 0.500 0.661
Zn 0.325 0.000 0.351
Zn 0.000 0.500 0.000
Zn 0.675 0.000 0.649
Zn 0.330 0.500 0.339
Tb 0.837 0.751 0.327
Tb 0.837 0.249 0.327
Tb 0.500 0.244 0.000
Tb 0.500 0.756 0.000
Tb 0.163 0.751 0.673
Tb 0.163 0.249 0.673
Pt 0.000 0.000 0.000



[5]
First-principles (PBE) data for a relaxed structure of SrLiMg2, as listed in the Alexandria database.

## Properties
Symmetry: C2/m (12)
Formation enthalpy at 0 K: 0.1096 eV/atom
Polymorph energy (0 for the lowest one): 0.149 eV per atom

a b c (Å): 7.904 6.098 3.582
angles (deg): 92.06 59.43 119.91
Atoms (fractional coordinates):
Li 0.500 0.500 0.000
Mg 0.000 0.000 0.000
Mg 0.500 0.000 0.500
Sr 0.000 0.500 0.500



[6]
First-principles (PBE) data for a relaxed structure of HgPbIN2, as listed in the Alexandria database.

## Properties
Formation energy without anion corrections: 33.99 kcal/mol of atoms
Symmetry: P4/mmm (123)
Polymorph energy (0 for the lowest one): 0.000 eV per atom

a b c (Å): 4.496 4.496 6.885
angles (deg): 90.00 90.00 90.00
Atoms (fractional coordinates):
Pb 0.000 0.000 0.000
I 0.000 0.000 0.500
Hg 0.500 0.500 0.500
N 0.000 0.500 0.000
N 0.500 0.000 0.000